Entry from Alexandria: a PBEsol-optimized structure of BeHgAs2Se (SCAN).

Values from the calculation:
D(E_F), states/eV per cell: 3.121
Magnetization, μB per cell: 0.0
Total DFT energy (no corrections), eV per atom: -26.061
Symmetry: No. 123
Formation energy (no corrections), eV per formula unit: 2.7

abc: 4.465 4.465 4.759
angles: 90.00 90.00 90.00
Atoms (fractional coordinates):
Be (0.000, 0.000, 0.000)
Hg (0.500, 0.500, 0.500)
As (0.000, 0.500, 0.000)
As (0.500, 0.000, 0.000)
Se (0.000, 0.000, 0.500)